[1]
First-principles (PBE) data for Li2CaIrCl8 after structural relaxation, as listed in Alexandria via LeMat-Bulk.

POSCAR file:
```
Li2CaIrCl8
1.0
6.371 0.000 0.000
1.406 6.578 0.000
0.478 2.802 7.376
Li Ca Ir Cl
2 1 1 8
Direct
0.043 0.162 0.308
0.957 0.838 0.692
0.500 0.500 0.500
0.500 0.500 0.000
0.115 0.775 0.435
0.161 0.720 0.972
0.376 0.295 0.856
0.402 0.266 0.286
0.598 0.734 0.714
0.624 0.705 0.144
0.839 0.280 0.028
0.885 0.225 0.565
```

Values from the calculation:
As for the total energy: -45.6 eV per cell. Its crystal system is triclinic. For the density of states at the Fermi level, the calculation gives 0.431 states/eV per atom. Its energy relative to the elements, uncorrected is -31.1 kcal/mol of atoms. For the density, the calculation gives 2.846 g cm⁻³.


[2]
First-principles (PBE) data for NaCaIrCl6 after structural relaxation, as listed in Alexandria via LeMat-Bulk.

POSCAR file:
```
NaCaIrCl6
1.0
6.650 0.000 0.000
-3.325 5.759 0.000
0.000 0.000 12.207
Na Ca Ir Cl
2 2 2 12
Direct
0.000 0.000 0.000
0.000 0.000 0.500
0.333 0.667 0.250
0.667 0.333 0.750
0.333 0.667 0.750
0.667 0.333 0.250
0.042 0.380 0.635
0.042 0.663 0.865
0.337 0.380 0.865
0.337 0.958 0.635
0.380 0.042 0.135
0.380 0.337 0.365
0.620 0.663 0.635
0.620 0.958 0.865
0.663 0.042 0.365
0.663 0.620 0.135
0.958 0.337 0.135
0.958 0.620 0.365
```

Values from the calculation:
As for the total energy: -71.5 eV per cell. Its crystal system is trigonal. For the density of states at the Fermi level, the calculation gives 0.000 states/eV per atom. Its energy relative to the elements, uncorrected is -32.0 kcal/mol of atoms. For the density, the calculation gives 3.325 g cm⁻³.


[3]
First-principles (PBE) data for Ca3IrCl2O6 after structural relaxation, as listed in Alexandria via LeMat-Bulk.

POSCAR file:
```
Ca3IrCl2O6
1.0
5.792 -3.269 0.000
5.792 3.269 0.000
-0.695 0.000 5.559
Ca Ir Cl O
3 1 2 6
Direct
0.000 0.000 0.000
0.000 0.500 0.500
0.500 0.000 0.500
0.500 0.500 0.500
0.206 0.206 0.853
0.794 0.794 0.147
0.238 0.659 0.698
0.341 0.762 0.302
0.347 0.347 0.330
0.653 0.653 0.670
0.659 0.238 0.698
0.762 0.341 0.302
```

Values from the calculation:
As for the total energy: -67.9 eV per cell. Its crystal system is monoclinic. For the density of states at the Fermi level, the calculation gives 0.394 states/eV per atom. Its energy relative to the elements, uncorrected is -37.6 kcal/mol of atoms. For the density, the calculation gives 3.781 g cm⁻³.


[4]
First-principles (PBE) data for CaP2IrCl after structural relaxation, as listed in Alexandria via LeMat-Bulk.

POSCAR file:
```
CaP2IrCl
1.0
4.536 0.000 0.000
0.000 4.536 0.000
0.000 0.000 5.543
Ca P Ir Cl
1 2 1 1
Direct
0.000 0.000 0.000
0.000 0.500 0.500
0.500 0.000 0.500
0.500 0.500 0.500
0.500 0.500 0.000
```

Values from the calculation:
As for the total energy: -24.9 eV per cell. Its crystal system is tetragonal. For the density of states at the Fermi level, the calculation gives 0.398 states/eV per atom. Its energy relative to the elements, uncorrected is -6.2 kcal/mol of atoms. The calculation puts the offset from the most stable computed form at 0.000 kcal/mol of atoms. For the density, the calculation gives 4.799 g cm⁻³.


[5]
First-principles (PBE) data for CaP2IrCl after structural relaxation, as listed in Alexandria via LeMat-Bulk.

POSCAR file:
```
CaP2IrCl
1.0
5.265 0.000 0.000
0.000 5.265 0.000
0.000 0.000 4.886
Ca P Ir Cl
1 2 1 1
Direct
0.000 0.000 0.000
0.000 0.500 0.000
0.500 0.000 0.000
0.500 0.500 0.500
0.000 0.000 0.500
```

Values from the calculation:
As for the total energy: -16.8 eV per cell. Its crystal system is tetragonal. For the density of states at the Fermi level, the calculation gives 1.772 states/eV per atom. Its energy relative to the elements, uncorrected is 31.1 kcal/mol of atoms. The calculation puts the offset from the most stable computed form at 37.235 kcal/mol of atoms. For the density, the calculation gives 4.042 g cm⁻³.


[6]
First-principles (PBE) data for Rb2CaIrCl6 after structural relaxation, as listed in Alexandria via LeMat-Bulk.

POSCAR file:
```
Rb2CaIrCl6
1.0
-3.704 3.704 5.101
3.704 -3.704 5.101
3.704 3.704 -5.101
Rb Ca Ir Cl
2 1 1 6
Direct
0.250 0.750 0.500
0.750 0.250 0.500
0.000 0.000 0.000
0.500 0.500 0.000
0.259 0.259 0.517
0.259 0.741 0.000
0.268 0.268 0.000
0.732 0.732 0.000
0.741 0.259 0.000
0.741 0.741 0.483
```

Values from the calculation:
As for the total energy: -38.2 eV per cell. Its crystal system is tetragonal. For the density of states at the Fermi level, the calculation gives 0.185 states/eV per atom. Its energy relative to the elements, uncorrected is -33.1 kcal/mol of atoms. For the density, the calculation gives 3.654 g cm⁻³.


[7]
First-principles (PBE) data for CaIrRuCl2 after structural relaxation, as listed in Alexandria via LeMat-Bulk.

POSCAR file:
```
CaIrRuCl2
1.0
4.805 0.000 0.000
0.000 4.805 0.000
0.000 0.000 4.790
Ca Ir Ru Cl
1 1 1 2
Direct
0.000 0.000 0.000
0.500 0.500 0.000
0.500 0.500 0.500
0.000 0.500 0.500
0.500 0.000 0.500
```

Values from the calculation:
As for the total energy: -24.2 eV per cell. Its crystal system is tetragonal. For the density of states at the Fermi level, the calculation gives 0.582 states/eV per atom. Its energy relative to the elements, uncorrected is -1.6 kcal/mol of atoms. For the density, the calculation gives 6.070 g cm⁻³.


[8]
First-principles (PBE) data for CaIrS2Cl after structural relaxation, as listed in Alexandria via LeMat-Bulk.

POSCAR file:
```
CaIrS2Cl
1.0
4.732 0.000 0.000
0.000 4.732 0.000
0.000 0.000 4.820
Ca Ir S Cl
1 1 2 1
Direct
0.000 0.000 0.000
0.500 0.500 0.500
0.000 0.500 0.500
0.500 0.000 0.500
0.500 0.500 0.000
```

Values from the calculation:
As for the total energy: -23.7 eV per cell. Its crystal system is tetragonal. For the density of states at the Fermi level, the calculation gives 0.909 states/eV per atom. Its energy relative to the elements, uncorrected is -12.7 kcal/mol of atoms. The calculation puts the offset from the most stable computed form at 0.000 kcal/mol of atoms. For the density, the calculation gives 5.107 g cm⁻³.